i | Material: PaIrOs
Method: DFT, PBE
State: optimized geometry

Cell: 5.4160 2.9202 6.9254 Å, 90.00 90.00 90.00°
Closest atoms and distances in Å follow each position.
Element x y z (fractional)
Pa 0.2500 0.0000 0.1484  2 Os 2.79, 2 Pa 2.92, 2 Ir 2.98
Pa 0.7500 0.0000 0.8516  2 Os 2.79, 2 Pa 2.92, 2 Ir 2.98
Ir 0.2500 0.5000 0.7725  4 Os 2.74, 2 Ir 2.92, 2 Pa 2.98
Ir 0.7500 0.5000 0.2275  4 Os 2.74, 2 Ir 2.92, 2 Pa 2.98
Os 0.0000 0.0000 0.5000  4 Os 2.71-2.92, 4 Ir 2.74, 2 Pa 2.79
Os 0.5000 0.0000 0.5000  4 Os 2.71-2.92, 4 Ir 2.74, 2 Pa 2.79

Results
- space-group type = Pmma, No. 51
- V (Å³/cell) = 109.5

=====

ii | Material: PaIrOs
Method: DFT, PBE
State: optimized geometry

Cell: 4.3321 4.3321 3.7196 Å, 90.00 90.00 120.00°
Closest atoms and distances in Å follow each position.
Element x y z (fractional)
Pa 0.0000 0.0000 0.0000  6 Ir 3.12, 6 Os 3.12
Ir 0.6667 0.3333 0.5000  3 Os 2.50
Os 0.3333 0.6667 0.5000  3 Ir 2.50

Results
- space-group type = P-6m2, No. 187
- V (Å³/cell) = 60.5

=====

Last place for stability: i

=====

i | Material: IrOs2Pb2
Method: DFT, PBE
State: optimized geometry

Cell: 6.8370 6.8370 6.8370 Å, 145.13 145.13 50.13°
Closest atoms and distances in Å follow each position.
Element x y z (fractional)
Ir 0.0000 0.0000 0.0000  8 Os 3.12
Os 0.4060 0.4060 0.0000  1 Os 2.33
Os 0.5940 0.5940 0.0000  1 Os 2.33
Pb 0.2500 0.7500 0.5000  4 Os 2.82, 4 Pb 2.90
Pb 0.7500 0.2500 0.5000  4 Os 2.82, 4 Pb 2.90

Results
- space-group type = I4/mmm, No. 139
- V (Å³/cell) = 103.9

=====

ii | Material: IrOs2Pb2
Method: DFT, PBE
State: optimized geometry

Cell: 6.7239 6.7239 4.4506 Å, 90.00 90.00 90.00°
Closest atoms and distances in Å follow each position.
Element x y z (fractional)
Ir 0.0000 0.0000 0.0000  4 Os 2.66
Ir 0.5000 0.5000 0.0000  4 Os 2.66
Os 0.1247 0.3753 0.0000  1 Os 2.37
Os 0.3753 0.8753 0.0000  1 Os 2.37
Os 0.6247 0.1247 0.0000  1 Os 2.37
Os 0.8753 0.6247 0.0000  1 Os 2.37
Pb 0.1847 0.6847 0.5000  6 Os 2.87-3.07
Pb 0.3153 0.1847 0.5000  6 Os 2.87-3.07
Pb 0.6847 0.8153 0.5000  6 Os 2.87-3.07
Pb 0.8153 0.3153 0.5000  6 Os 2.87-3.07

Results
- space-group type = P4/mbm, No. 127
- V (Å³/cell) = 201.2

=====

Last place for stability: i

=====

i | Material: IrOsPd2
Method: DFT, PBE
State: optimized geometry

Cell: 9.0950 9.0950 9.0950 Å, 17.50 17.50 17.50°
Closest atoms and distances in Å follow each position.
Element x y z (fractional)
Ir 0.0000 0.0000 0.0000  3 Os 2.65, 6 Ir 2.77, 3 Pd 2.79
Os 0.2547 0.2547 0.2547  3 Ir 2.65, 3 Pd 2.73, 6 Os 2.77
Pd 0.4185 0.4185 0.4185  9 Pd 2.77-2.83, 3 Ir 2.79
Pd 0.8387 0.8387 0.8387  3 Os 2.73, 9 Pd 2.77-2.83

Results
- space-group type = R3m, No. 160
- V (Å³/cell) = 59.4

=====

ii | Material: IrOsPd2
Method: DFT, PBE
State: optimized geometry

Cell: 4.3903 4.3903 4.3903 Å, 60.00 60.00 60.00°
Closest atoms and distances in Å follow each position.
Element x y z (fractional)
Ir 0.0000 0.0000 0.0000  8 Pd 2.69
Os 0.5000 0.5000 0.5000  8 Pd 2.69
Pd 0.2500 0.2500 0.2500  4 Os 2.69, 4 Ir 2.69
Pd 0.7500 0.7500 0.7500  4 Ir 2.69, 4 Os 2.69

Results
- space-group type = Fm-3m, No. 225
- V (Å³/cell) = 59.8

=====

iii | Material: IrOsPd2
Method: DFT, PBE
State: optimized geometry

Cell: 5.6540 5.6540 5.6540 Å, 102.20 102.20 125.28°
Closest atoms and distances in Å follow each position.
Element x y z (fractional)
Ir 0.0000 0.0000 0.0000  2 Os 2.60, 4 Pd 2.65
Ir 0.7500 0.2500 0.5000  2 Os 2.60, 4 Pd 2.65
Os 0.2500 0.7500 0.5000  4 Pd 2.54, 2 Ir 2.60
Os 0.5000 0.5000 0.0000  4 Pd 2.54, 2 Ir 2.60
Pd 0.1365 0.6250 0.0115  2 Os 2.54, 2 Pd 2.60, 2 Ir 2.65
Pd 0.3750 0.3865 0.5115  2 Os 2.54, 2 Pd 2.60, 2 Ir 2.65
Pd 0.6135 0.1250 0.9885  2 Os 2.54, 2 Pd 2.60, 2 Ir 2.65
Pd 0.8750 0.8635 0.4885  2 Os 2.54, 2 Pd 2.60, 2 Ir 2.65

Results
- space-group type = I-42d, No. 122
- V (Å³/cell) = 131.0

=====

Last place for stability: iii

=====

i | Material: IrOsPd
Method: DFT, PBE
State: optimized geometry

Cell: 2.7493 2.7493 13.4810 Å, 90.01 90.01 60.02°
Closest atoms and distances in Å follow each position.
Element x y z (fractional)
Ir 0.0000 0.0000 0.0000  3 Os 2.68, 6 Ir 2.75, 3 Pd 2.80
Ir 0.6650 0.6650 0.5167  3 Os 2.71-2.72, 6 Ir 2.75, 3 Pd 2.80-2.81
Os 0.3333 0.3333 0.8401  3 Ir 2.68, 9 Os 2.68-2.75
Os 0.9991 0.9991 0.6801  9 Os 2.68-2.75, 3 Ir 2.71-2.72
Pd 0.3304 0.3304 0.3451  9 Pd 2.75-2.84, 3 Ir 2.80-2.81
Pd 0.6658 0.6658 0.1710  9 Pd 2.75-2.84, 3 Ir 2.80

Results
- space-group type = Cm, No. 8
- V (Å³/cell) = 88.3

=====

ii | Material: IrOsPd
Method: DFT, PBE
State: optimized geometry

Cell: 8.5086 8.5086 8.5086 Å, 26.34 26.34 26.34°
Closest atoms and distances in Å follow each position.
Element x y z (fractional)
Ir 0.1985 0.1985 0.1985  4 Os 2.49-2.66, 1 Pd 2.58, 3 Ir 2.73
Ir 0.8015 0.8015 0.8015  4 Os 2.49-2.66, 1 Pd 2.58, 3 Ir 2.73
Os 0.0906 0.0906 0.0906  4 Ir 2.49-2.66, 3 Pd 2.69
Os 0.9094 0.9094 0.9094  4 Ir 2.49-2.66, 3 Pd 2.69
Pd 0.3033 0.3033 0.3033  1 Ir 2.58, 3 Pd 2.68, 3 Os 2.69
Pd 0.6967 0.6967 0.6967  1 Ir 2.58, 3 Pd 2.68, 3 Os 2.69

Results
- space-group type = R-3m, No. 166
- V (Å³/cell) = 106.8

=====

iii | Material: IrOsPd
Method: DFT, PBE
State: optimized geometry

Cell: 6.1951 6.1951 6.1951 Å, 154.41 154.41 36.50°
Closest atoms and distances in Å follow each position.
Element x y z (fractional)
Ir 0.0000 0.0000 0.0000  4 Os 2.64, 4 Ir 2.74, 4 Pd 2.85
Os 0.3483 0.3483 0.0000  4 Ir 2.64, 4 Os 2.74, 4 Pd 2.79
Pd 0.6774 0.6774 0.0000  4 Pd 2.74, 4 Os 2.79, 4 Ir 2.85

Results
- space-group type = I4mm, No. 107
- V (Å³/cell) = 44.3

=====

Last place for stability: ii